1.
Tm4CdCuAu2 | PBE | optimized geometry

The structure belongs to space group R-3m (No. 166, hexagonal axes); the cell edges are 5.0380, 5.0380 and 24.5841 Å and the angles 90.00°, 90.00° and 120.00°. The inequivalent atoms are Tm at (0.0000, 0.0000, 0.1191), Tm at (0.0000, 0.0000, 0.3700), Cd at (0.0000, 0.0000, 0.5000), Cu at (0.0000, 0.0000, 0.0000) and Au at (0.0000, 0.0000, 0.2453).

The calculation puts the size of the total moment at 0.00 μB per formula unit. As for the total energy: -102.337 eV for the cell shown.

2.
RePdRh | PBE | optimized geometry

The structure belongs to space group P3m1 (No. 156); the cell edges are 2.7497, 2.7497 and 6.7803 Å and the angles 90.00°, 90.00° and 120.00°. The inequivalent atoms are Re at (0.0000, 0.0000, 0.0000), Pd at (0.3333, 0.6667, 0.6618) and Rh at (0.6667, 0.3333, 0.3133).

The calculation puts the size of the total moment at 0.00 μB per formula unit. As for the total energy: -25.007 eV for the cell shown.

3.
BeCrSeN2 | PBE | optimized geometry

The structure belongs to space group P4/mmm (No. 123); the cell edges are 3.4735, 3.4735 and 5.3687 Å and the angles 90.00°, 90.00° and 90.00°. The inequivalent atoms are Be at (0.0000, 0.0000, 0.0000), Cr at (0.5000, 0.5000, 0.5000), Se at (0.0000, 0.0000, 0.5000) and N at (0.0000, 0.5000, 0.0000).

The calculation puts the size of the total moment at 2.04 μB per formula unit. As for the total energy: -28.689 eV for the cell shown. Its uncorrected formation energy is 463 kJ/mol of formula units.

4.
Hf3Al3Ir | PBE | optimized geometry

The structure belongs to space group Cmcm (No. 63); the cell edges are 3.3495, 10.7204 and 14.2148 Å and the angles 90.00°, 90.00° and 90.00°. The inequivalent atoms are Hf at (0.0000, 0.0050, 0.2500), Hf at (0.0000, 0.3153, 0.5911), Al at (0.0000, 0.2658, 0.2500), Al at (0.0000, 0.4046, 0.1057) and Ir at (0.0000, 0.0000, 0.0000).

The calculation puts the size of the total moment at 0.00 μB per formula unit. As for the total energy: -215.036 eV for the cell shown.

5.
Cs4SnPb3I12 | PBE | optimized geometry

The structure belongs to space group Im-3m (No. 229); the cell edges are 12.7131, 12.7131 and 12.7131 Å and the angles 90.00°, 90.00° and 90.00°. The inequivalent atoms are Cs at (0.2500, 0.2500, 0.2500), Sn at (0.0000, 0.0000, 0.0000), Pb at (0.0000, 0.0000, 0.5000), I at (0.0000, 0.0000, 0.2475) and I at (0.0000, 0.2500, 0.5000).

The calculation puts the size of the total moment at 0.00 μB per formula unit. As for the total energy: -113.614 eV for the cell shown. Its uncorrected formation energy is -1897 kJ/mol of formula units.

6.
Hf2MnFe | PBE | optimized geometry

The structure belongs to space group I-42d (No. 122); the cell edges are 6.9525, 6.9525 and 5.7276 Å and the angles 90.00°, 90.00° and 90.00°. The inequivalent atoms are Hf at (0.2273, 0.2500, 0.1250), Mn at (0.0000, 0.0000, 0.5000) and Fe at (0.0000, 0.0000, 0.0000).

The calculation puts the size of the total moment at 2.42 μB per formula unit. As for the total energy: -143.931 eV for the cell shown.

7.
Pr8HoTm4 | PBE | optimized geometry

The structure belongs to space group R-3m (No. 166, hexagonal axes); the cell edges are 7.2498, 7.2498 and 29.4946 Å and the angles 90.00°, 90.00° and 120.00°. The inequivalent atoms are Pr at (0.0000, 0.0000, 0.2119), Pr at (0.0264, 0.5132, 0.7621), Ho at (0.0000, 0.0000, 0.5000), Tm at (0.0000, 0.0000, 0.0000) and Tm at (0.0000, 0.5000, 0.0000).

The calculation puts the size of the total moment at 0.00 μB per formula unit. As for the total energy: -174.555 eV for the cell shown.

8.
FePt2Au | PBE | optimized geometry

The structure belongs to space group I4/mmm (No. 139); the cell edges are 4.0020, 4.0020 and 7.7652 Å and the angles 90.00°, 90.00° and 90.00°. The inequivalent atoms are Fe at (0.0000, 0.0000, 0.0000), Pt at (0.0000, 0.5000, 0.2500) and Au at (0.0000, 0.0000, 0.5000).

The calculation puts the size of the total moment at 3.92 μB per formula unit. As for the total energy: -48.390 eV for the cell shown.

9.
Y2TiAlH | PBE | optimized geometry

The structure belongs to space group P4/mmm (No. 123); the cell edges are 4.7058, 4.7058 and 4.3084 Å and the angles 90.00°, 90.00° and 90.00°. The inequivalent atoms are Y at (0.0000, 0.5000, 0.0000), Ti at (0.0000, 0.0000, 0.5000), Al at (0.5000, 0.5000, 0.5000) and H at (0.0000, 0.0000, 0.0000).

The calculation puts the size of the total moment at 1.15 μB per formula unit. As for the total energy: -29.007 eV for the cell shown.

10.
YTe2Se | PBE | optimized geometry

The structure belongs to space group Immm (No. 71); the cell edges are 3.9499, 4.4845 and 12.8068 Å and the angles 90.00°, 90.00° and 90.00°. The inequivalent atoms are Y at (0.0000, 0.0000, 0.0000), Te at (0.0000, 0.5000, 0.2675) and Se at (0.0000, 0.0000, 0.5000).

The calculation puts the size of the total moment at 0.00 μB per formula unit. As for the total energy: -38.650 eV for the cell shown. Its uncorrected formation energy is -298 kJ/mol of formula units.

11.
YPSCl2 | PBE | optimized geometry

The structure belongs to space group P4/mmm (No. 123); the cell edges are 5.1939, 5.1939 and 5.4864 Å and the angles 90.00°, 90.00° and 90.00°. The inequivalent atoms are Y at (0.0000, 0.0000, 0.0000), P at (0.5000, 0.5000, 0.5000), S at (0.0000, 0.0000, 0.5000) and Cl at (0.0000, 0.5000, 0.0000).

The calculation puts the size of the total moment at 2.00 μB per formula unit. As for the total energy: -22.944 eV for the cell shown. Its uncorrected formation energy is -314 kJ/mol of formula units.

12.
LaCuSbPt2 | PBE | optimized geometry

The structure belongs to space group P4/mmm (No. 123); the cell edges are 5.1916, 5.1916 and 6.1657 Å and the angles 90.00°, 90.00° and 90.00°. The inequivalent atoms are La at (0.0000, 0.0000, 0.0000), Cu at (0.5000, 0.5000, 0.5000), Sb at (0.0000, 0.0000, 0.5000) and Pt at (0.0000, 0.5000, 0.0000).

The calculation puts the size of the total moment at 0.00 μB per formula unit. As for the total energy: -19.757 eV for the cell shown. Its uncorrected formation energy is 528 kJ/mol of formula units.

13.
KFeCl6 | PBE | optimized geometry

The structure belongs to space group P-1 (No. 2); the cell edges are 6.6032, 6.6125 and 7.0548 Å and the angles 62.27°, 62.52° and 60.19°. The inequivalent atoms are K at (0.0000, 0.0000, 0.0000), Fe at (0.5000, 0.5000, 0.5000), Cl at (0.1169, 0.6451, 0.7170), Cl at (0.3516, 0.4797, 0.2826) and Cl at (0.4774, 0.8849, 0.2847).

The calculation puts the size of the total moment at 3.05 μB per formula unit. As for the total energy: -27.033 eV for the cell shown. Its uncorrected formation energy is -617 kJ/mol of formula units.

14.
LiCoPt | PBE | optimized geometry

The structure belongs to space group Fmm2 (No. 42); the cell edges are 2.7320, 4.4956 and 13.3602 Å and the angles 90.00°, 90.00° and 90.00°. The inequivalent atoms are Li at (0.0000, 0.0000, 0.0000), Co at (0.0000, 0.0000, 0.6638) and Pt at (0.0000, 0.0000, 0.3344).

The calculation puts the size of the total moment at 1.82 μB per formula unit. As for the total energy: -60.335 eV for the cell shown.

15.
TbNi2Ge | PBE | optimized geometry

The structure belongs to space group Pnma (No. 62); the cell edges are 7.1646, 6.4952 and 5.5445 Å and the angles 90.00°, 90.00° and 90.00°. The inequivalent atoms are Tb at (0.0304, 0.2500, 0.1548), Ni at (0.1729, 0.0573, 0.5837) and Ge at (0.1244, 0.7500, 0.3457).

The calculation puts the size of the total moment at 0.00 μB per formula unit. As for the total energy: -93.244 eV for the cell shown.

16.
Co4CuRh | PBE | optimized geometry

The structure belongs to space group F-43m (No. 216); the cell edges are 6.6213, 6.6213 and 6.6213 Å and the angles 90.00°, 90.00° and 90.00°. The inequivalent atoms are Co at (0.1246, 0.1246, 0.1246), Cu at (0.2500, 0.2500, 0.7500) and Rh at (0.0000, 0.0000, 0.5000).

The calculation puts the size of the total moment at 7.78 μB per formula unit. As for the total energy: -155.864 eV for the cell shown.

17.
Er6Tm5Th2 | PBE | optimized geometry

The structure belongs to space group Pbam (No. 55); the cell edges are 11.4954, 20.0709 and 3.5344 Å and the angles 90.00°, 90.00° and 90.00°. The inequivalent atoms are Er at (0.0675, 0.0709, 0.0000), Er at (0.0731, 0.3584, 0.0000), Er at (0.1805, 0.6243, 0.5000), Tm at (0.0000, 0.5000, 0.5000), Tm at (0.0887, 0.2151, 0.5000), Tm at (0.1966, 0.9350, 0.5000) and Th at (0.1717, 0.7732, 0.0000).

The calculation puts the size of the total moment at 0.00 μB per formula unit. As for the total energy: -126.273 eV for the cell shown.

18.
MgAg | PBE | optimized geometry

The structure belongs to space group P-3m1 (No. 164); the cell edges are 3.0719, 3.0719 and 9.5019 Å and the angles 90.00°, 90.00° and 120.00°. The inequivalent atoms are Mg at (0.3333, 0.6667, 0.3638) and Ag at (0.3333, 0.6667, 0.8759).

The calculation puts the size of the total moment at 0.00 μB per formula unit. As for the total energy: -9.147 eV for the cell shown.

19.
PmBiBr2 | PBE | optimized geometry

The structure belongs to space group R-3m (No. 166, hexagonal axes); the cell edges are 3.7303, 3.7303 and 33.0869 Å and the angles 90.00°, 90.00° and 120.00°. The inequivalent atoms are Pm at (0.0000, 0.0000, 0.0000), Bi at (0.0000, 0.0000, 0.5000) and Br at (0.0000, 0.0000, 0.3942).

The calculation puts the size of the total moment at 0.00 μB per formula unit. As for the total energy: -47.461 eV for the cell shown. Its uncorrected formation energy is -371 kJ/mol of formula units.

20.
ZrTaP2Cl | PBE | optimized geometry

The structure belongs to space group P4/mmm (No. 123); the cell edges are 4.8570, 4.8570 and 4.6009 Å and the angles 90.00°, 90.00° and 90.00°. The inequivalent atoms are Zr at (0.0000, 0.0000, 0.0000), Ta at (0.5000, 0.5000, 0.5000), P at (0.0000, 0.5000, 0.5000) and Cl at (0.5000, 0.5000, 0.0000).

The calculation puts the size of the total moment at 1.10 μB per formula unit. As for the total energy: -32.401 eV for the cell shown. Its uncorrected formation energy is 64 kJ/mol of formula units.

21.
LiScF4 | PBE | optimized geometry

The structure belongs to space group C2/c (No. 15); the cell edges are 7.1274, 10.1914 and 5.0478 Å and the angles 90.00°, 134.81° and 90.00°. The inequivalent atoms are Li at (0.0000, 0.1235, 0.2500), Sc at (0.0000, 0.3748, 0.7500), F at (0.1788, 0.2044, 0.1395) and F at (0.2107, 0.4547, 0.2796).

The calculation puts the size of the total moment at 0.00 μB per formula unit. As for the total energy: -149.442 eV for the cell shown. Its uncorrected formation energy is -2087 kJ/mol of formula units.

22.
InAgBi2P | PBE | optimized geometry

The structure belongs to space group P4/mmm (No. 123); the cell edges are 5.7130, 5.7130 and 5.0718 Å and the angles 90.00°, 90.00° and 90.00°. The inequivalent atoms are In at (0.0000, 0.0000, 0.0000), Ag at (0.0000, 0.0000, 0.5000), Bi at (0.0000, 0.5000, 0.0000) and P at (0.5000, 0.5000, 0.5000).

The calculation puts the size of the total moment at 0.00 μB per formula unit. As for the total energy: -13.795 eV for the cell shown.

23.
CoIBrN2 | PBE | optimized geometry

The structure belongs to space group P4/mmm (No. 123); the cell edges are 3.8061, 3.8061 and 7.7584 Å and the angles 90.00°, 90.00° and 90.00°. The inequivalent atoms are Co at (0.0000, 0.0000, 0.0000), I at (0.0000, 0.0000, 0.5000), Br at (0.5000, 0.5000, 0.5000) and N at (0.0000, 0.5000, 0.0000).

The calculation puts the size of the total moment at 0.39 μB per formula unit. As for the total energy: -19.911 eV for the cell shown. Its uncorrected formation energy is 682 kJ/mol of formula units.

24.
Mg2HgPb2 | PBE | optimized geometry

The structure belongs to space group I4/mmm (No. 139); the cell edges are 4.4684, 4.4684 and 14.6974 Å and the angles 90.00°, 90.00° and 90.00°. The inequivalent atoms are Mg at (0.0000, 0.0000, 0.0971), Hg at (0.0000, 0.0000, 0.5000) and Pb at (0.0000, 0.5000, 0.2500).

The calculation puts the size of the total moment at 0.00 μB per formula unit. As for the total energy: -20.772 eV for the cell shown.